# 1
# SnPbI2

Crystalline SnPbI2 at its relaxed geometry (PBE, Alexandria).

Uncorrected formation energy = -35 kJ/mol of formula units
Energy relative to the lowest polymorph listed for this composition = 0 meV per atom
Crystal system = trigonal

a b c (Å): 3.9979 3.9979 33.2273
angles (deg): 90.00 90.00 120.00
Space group R-3m (No. 166, hexagonal axes)
One atom of each set of equivalent atoms:
Sn1 0.0000 0.0000 0.0000 [3 per cell]
Pb1 0.0000 0.0000 0.5000 [3 per cell]
I1 0.0000 0.0000 0.4034 [6 per cell]

***

# 2
# Tb2HoAg3S6

Crystalline Tb2HoAg3S6 at its relaxed geometry (PBE, Alexandria).

Uncorrected formation energy = -1506 kJ/mol of formula units
Crystal system = monoclinic

a b c (Å): 15.4850 4.0512 9.5651
angles (deg): 90.00 105.55 90.00
Space group C2/m (No. 12)
One atom of each set of equivalent atoms:
Tb1 0.1626 0.0000 0.3192 [4 per cell]
Ho1 0.0000 0.5000 0.0000 [2 per cell]
Ag1 0.0000 0.5000 0.5000 [2 per cell]
Ag2 0.1550 0.0000 0.7295 [4 per cell]
S1 0.0159 0.0000 0.8143 [4 per cell]
S2 0.1576 0.5000 0.5253 [4 per cell]
S3 0.1783 0.5000 0.1401 [4 per cell]

***

# 3
# In8Ga3Bi2

Crystalline In8Ga3Bi2 at its relaxed geometry (PBE, Alexandria).

Crystal system = monoclinic
Calculated formation energy = 0.059 eV per atom

a b c (Å): 18.5966 8.1966 4.6729
angles (deg): 90.00 91.45 90.00
Space group C2/m (No. 12)
One atom of each set of equivalent atoms:
In1 0.0549 0.0000 0.2618 [4 per cell]
In2 0.1424 0.2169 0.7363 [8 per cell]
In3 0.1456 0.5000 0.2426 [4 per cell]
Ga1 0.0000 0.3164 0.0000 [4 per cell]
Ga2 0.0000 0.5000 0.5000 [2 per cell]
Bi1 0.2312 0.0000 0.2309 [4 per cell]

***

Computed size of the total moment, in the same sequence as the records: 0.0; 0.0; 0.0 Bohr magnetons per cell.
Computed raw total energy, in the same sequence as the records: -33.530; -125.526; -75.968 eV for the cell shown.